5
Lattice="4.4930 0.0000 0.0000 0.0000 4.4930 0.0000 0.0000 0.0000 4.4930" Properties=species:S:1:pos:R:3 comment="ZnCuRh3, optimized geometry, DFT PBE" dos_at_fermi_per_ev_cell=9.17 final_energy_ev_per_atom=-4.39 space_group=Pm-3m pbc="T T T"
Zn 2.2465 2.2465 2.2465
Rh 0.0000 2.2465 0.0000
Rh 0.0000 0.0000 2.2465
Rh 2.2465 0.0000 0.0000
Cu 0.0000 0.0000 0.0000

8
Lattice="0.1811 -1.9911 4.3889 -3.7060 -2.6346 1.6076 1.5582 -6.9533 -0.5689" Properties=species:S:1:pos:R:3 comment="ZnCu6Rh, optimized geometry, DFT PBE" dos_at_fermi_per_ev_cell=3.89 final_energy_ev_per_atom=-3.77 space_group=R-3m pbc="T T T"
Zn 0.0000 0.0000 0.0000
Cu 0.2715 -2.4714 0.1924
Cu -1.5818 -3.7888 0.9963
Cu -2.3288 -8.1120 3.0405
Cu -0.3849 -7.7902 4.4313
Cu -2.2382 -9.1076 5.2352
Cu 0.3620 -3.4670 2.3871
Rh -0.9834 -5.7895 2.7138

6
Lattice="-0.8577 -0.5254 -2.5256 -1.3477 -2.1782 0.9108 -8.0585 7.7634 2.5851" Properties=species:S:1:pos:R:3 comment="ZnCuRh, optimized geometry, DFT PBE" dos_at_fermi_per_ev_cell=5.86 final_energy_ev_per_atom=-4.19 space_group=I4/mmm pbc="T T T"
Cu -5.2606 3.6817 1.0208
Cu -5.0033 1.3781 -0.0505
Zn -2.4764 1.7331 0.4805
Zn -7.7876 3.3267 0.4898
Rh -2.1130 -0.6447 -0.6113
Rh -8.1509 5.7045 1.5816